# In2TePt

A geometry-optimized In2TePt structure (GGA-PBEsol, Alexandria).

Structure (extended XYZ):
```
4
Lattice="4.527 0.000 0.000 0.000 4.527 0.000 -2.264 -2.264 4.228" Properties=species:S:1:pos:R:3 pbc="T T T"
In 0.000 2.264 2.114
In 2.264 0.000 2.114
Pt 2.264 2.264 0.000
Te 0.000 0.000 0.000
```

As for the space group: I4/mmm (139). For the formation energy (no corrections), the calculation gives 0.42 eV/f.u.